Record 1
VASP calculation (PBE-GGA) on an optimized crystal structure of AlPRh2.

CIF file:
```
data_AlPRh2
_chemical_formula_sum 'Al1 P1 Rh2'
_cell_length_a 4.627
_cell_length_b 4.627
_cell_length_c 4.259
_cell_angle_alpha 103.14
_cell_angle_beta 103.14
_cell_angle_gamma 38.07
_symmetry_space_group_name_H-M 'P 1'
_symmetry_Int_Tables_number 1
_symmetry_space_group_name_Hall 'P 1'
loop_
_atom_site_label
_atom_site_type_symbol
_atom_site_fract_x
_atom_site_fract_y
_atom_site_fract_z
Al1 Al 0.000 0.000 0.000
P1 P 0.758 0.758 0.351
Rh1 Rh 0.261 0.261 0.892
Rh2 Rh 0.487 0.487 0.485
```

Values from the calculation:
- size of the total moment (μB/cell) = 0.0
- calculated formation energy (kJ per mole of atoms) = -64.1
- D(E_F) (states/eV per atom) = 0.30

***

Record 2
VASP calculation (PBE-GGA) on an optimized crystal structure of SbTe2Cl.

CIF file:
```
data_SbTe2Cl
_chemical_formula_sum 'Sb1 Te2 Cl1'
_cell_length_a 3.198
_cell_length_b 4.871
_cell_length_c 7.206
_cell_angle_alpha 90.00
_cell_angle_beta 91.26
_cell_angle_gamma 90.00
_symmetry_space_group_name_H-M 'P 1'
_symmetry_Int_Tables_number 1
_symmetry_space_group_name_Hall 'P 1'
loop_
_atom_site_label
_atom_site_type_symbol
_atom_site_fract_x
_atom_site_fract_y
_atom_site_fract_z
Sb1 Sb 0.000 0.000 0.000
Te1 Te 0.894 0.500 0.715
Te2 Te 0.896 0.000 0.428
Cl1 Cl 0.347 0.500 0.162
```

Values from the calculation:
- size of the total moment (μB/cell) = 0.0
- D(E_F) (states/eV per atom) = 0.71

***

Record 3
VASP calculation (PBE-GGA) on an optimized crystal structure of LiMg2Hg5Pb.

CIF file:
```
data_LiMg2Hg5Pb
_chemical_formula_sum 'Li1 Mg2 Hg5 Pb1'
_cell_length_a 8.538
_cell_length_b 8.538
_cell_length_c 8.538
_cell_angle_alpha 146.14
_cell_angle_beta 137.54
_cell_angle_gamma 55.38
_symmetry_space_group_name_H-M 'P 1'
_symmetry_Int_Tables_number 1
_symmetry_space_group_name_Hall 'P 1'
loop_
_atom_site_label
_atom_site_type_symbol
_atom_site_fract_x
_atom_site_fract_y
_atom_site_fract_z
Li1 Li 0.000 0.000 0.000
Mg1 Mg 0.187 0.687 0.500
Mg2 Mg 0.813 0.313 0.500
Hg1 Hg 0.000 0.500 0.500
Hg2 Hg 0.113 0.852 0.261
Hg3 Hg 0.408 0.148 0.261
Hg4 Hg 0.592 0.852 0.739
Hg5 Hg 0.887 0.148 0.739
Pb1 Pb 0.500 0.500 0.000
```

Values from the calculation:
- size of the total moment (μB/cell) = 0.0
- calculated formation energy (kJ per mole of atoms) = -2.8
- D(E_F) (states/eV per atom) = 0.44

***

Record 4
VASP calculation (PBE-GGA) on an optimized crystal structure of AcNdDyGa.

CIF file:
```
data_AcNdDyGa
_chemical_formula_sum 'Ac1 Nd1 Dy1 Ga1'
_cell_length_a 5.543
_cell_length_b 5.543
_cell_length_c 5.543
_cell_angle_alpha 60.00
_cell_angle_beta 60.00
_cell_angle_gamma 60.00
_symmetry_space_group_name_H-M 'P 1'
_symmetry_Int_Tables_number 1
_symmetry_space_group_name_Hall 'P 1'
loop_
_atom_site_label
_atom_site_type_symbol
_atom_site_fract_x
_atom_site_fract_y
_atom_site_fract_z
Ac1 Ac 0.000 0.000 0.000
Nd1 Nd 0.250 0.250 0.250
Dy1 Dy 0.750 0.750 0.750
Ga1 Ga 0.500 0.500 0.500
```

Values from the calculation:
- size of the total moment (μB/cell) = 0.0
- calculated formation energy (kJ per mole of atoms) = 2.7
- D(E_F) (states/eV per atom) = 1.73

***

Record 5
VASP calculation (PBE-GGA) on an optimized crystal structure of SbTeSeN2.

CIF file:
```
data_SbTeSeN2
_chemical_formula_sum 'Sb1 Te1 Se1 N2'
_cell_length_a 4.109
_cell_length_b 4.109
_cell_length_c 5.627
_cell_angle_alpha 90.00
_cell_angle_beta 90.00
_cell_angle_gamma 90.00
_symmetry_space_group_name_H-M 'P 1'
_symmetry_Int_Tables_number 1
_symmetry_space_group_name_Hall 'P 1'
loop_
_atom_site_label
_atom_site_type_symbol
_atom_site_fract_x
_atom_site_fract_y
_atom_site_fract_z
Sb1 Sb 0.000 0.000 0.000
Te1 Te 0.500 0.500 0.000
Se1 Se 0.500 0.500 0.500
N1 N 0.000 0.500 0.500
N2 N 0.500 0.000 0.500
```

Values from the calculation:
- size of the total moment (μB/cell) = 0.0
- D(E_F) (states/eV per atom) = 0.85

***

Record 6
VASP calculation (PBE-GGA) on an optimized crystal structure of Na2CaPuI6.

CIF file:
```
data_Na2CaPuI6
_chemical_formula_sum 'Na2 Ca1 Pu1 I6'
_cell_length_a 8.686
_cell_length_b 8.686
_cell_length_c 8.686
_cell_angle_alpha 55.28
_cell_angle_beta 55.28
_cell_angle_gamma 55.28
_symmetry_space_group_name_H-M 'P 1'
_symmetry_Int_Tables_number 1
_symmetry_space_group_name_Hall 'P 1'
loop_
_atom_site_label
_atom_site_type_symbol
_atom_site_fract_x
_atom_site_fract_y
_atom_site_fract_z
Na1 Na 0.000 0.000 0.000
Na2 Na 0.499 0.499 0.499
Ca1 Ca 0.689 0.689 0.689
Pu1 Pu 0.189 0.189 0.189
I1 I 0.084 0.417 0.788
I2 I 0.293 0.910 0.592
I3 I 0.417 0.788 0.084
I4 I 0.592 0.293 0.910
I5 I 0.788 0.084 0.417
I6 I 0.910 0.592 0.293
```

Values from the calculation:
- size of the total moment (μB/cell) = 6.0
- D(E_F) (states/eV per atom) = 1.96

***

Record 7
VASP calculation (PBE-GGA) on an optimized crystal structure of AlHgPbI5.

CIF file:
```
data_AlHgPbI5
_chemical_formula_sum 'Al2 Hg2 Pb2 I10'
_cell_length_a 8.892
_cell_length_b 8.892
_cell_length_c 11.226
_cell_angle_alpha 106.11
_cell_angle_beta 106.11
_cell_angle_gamma 104.59
_symmetry_space_group_name_H-M 'P 1'
_symmetry_Int_Tables_number 1
_symmetry_space_group_name_Hall 'P 1'
loop_
_atom_site_label
_atom_site_type_symbol
_atom_site_fract_x
_atom_site_fract_y
_atom_site_fract_z
Al1 Al 0.057 0.943 0.750
Al2 Al 0.943 0.057 0.250
Hg1 Hg 0.393 0.607 0.750
Hg2 Hg 0.607 0.393 0.250
Pb1 Pb 0.000 0.500 0.000
Pb2 Pb 0.500 0.000 0.500
I1 I 0.153 0.830 0.557
I2 I 0.170 0.847 0.943
I3 I 0.187 0.265 0.848
I4 I 0.265 0.187 0.348
I5 I 0.340 0.660 0.250
I6 I 0.660 0.340 0.750
I7 I 0.735 0.813 0.652
I8 I 0.813 0.735 0.152
I9 I 0.830 0.153 0.057
I10 I 0.847 0.170 0.443
```

Values from the calculation:
- size of the total moment (μB/cell) = 0.0

***

Record 8
VASP calculation (PBE-GGA) on an optimized crystal structure of InCo2Te.

CIF file:
```
data_InCo2Te
_chemical_formula_sum 'In1 Co2 Te1'
_cell_length_a 3.883
_cell_length_b 5.128
_cell_length_c 5.128
_cell_angle_alpha 42.54
_cell_angle_beta 90.00
_cell_angle_gamma 90.00
_symmetry_space_group_name_H-M 'P 1'
_symmetry_Int_Tables_number 1
_symmetry_space_group_name_Hall 'P 1'
loop_
_atom_site_label
_atom_site_type_symbol
_atom_site_fract_x
_atom_site_fract_y
_atom_site_fract_z
In1 In 0.000 0.000 0.000
Co1 Co 0.000 0.714 0.714
Co2 Co 0.500 0.574 0.574
Te1 Te 0.500 0.289 0.289
```

Values from the calculation:
- size of the total moment (μB/cell) = 2.4
- D(E_F) (states/eV per atom) = 1.31

***

Record 9
VASP calculation (PBE-GGA) on an optimized crystal structure of La3ScMn.

CIF file:
```
data_La3ScMn
_chemical_formula_sum 'La3 Sc1 Mn1'
_cell_length_a 5.344
_cell_length_b 5.344
_cell_length_c 5.344
_cell_angle_alpha 90.00
_cell_angle_beta 90.00
_cell_angle_gamma 90.00
_symmetry_space_group_name_H-M 'P 1'
_symmetry_Int_Tables_number 1
_symmetry_space_group_name_Hall 'P 1'
loop_
_atom_site_label
_atom_site_type_symbol
_atom_site_fract_x
_atom_site_fract_y
_atom_site_fract_z
La1 La 0.000 0.000 0.500
La2 La 0.000 0.500 0.000
La3 La 0.500 0.000 0.000
Sc1 Sc 0.500 0.500 0.500
Mn1 Mn 0.000 0.000 0.000
```

Values from the calculation:
- size of the total moment (μB/cell) = 0.0
- calculated formation energy (kJ per mole of atoms) = 25.0
- D(E_F) (states/eV per atom) = 1.18

***

Record 10
VASP calculation (PBE-GGA) on an optimized crystal structure of MgMn2OsRu.

CIF file:
```
data_MgMn2OsRu
_chemical_formula_sum 'Mg1 Mn2 Os1 Ru1'
_cell_length_a 4.532
_cell_length_b 4.532
_cell_length_c 4.804
_cell_angle_alpha 90.00
_cell_angle_beta 90.00
_cell_angle_gamma 90.00
_symmetry_space_group_name_H-M 'P 1'
_symmetry_Int_Tables_number 1
_symmetry_space_group_name_Hall 'P 1'
loop_
_atom_site_label
_atom_site_type_symbol
_atom_site_fract_x
_atom_site_fract_y
_atom_site_fract_z
Mg1 Mg 0.000 0.000 0.000
Mn1 Mn 0.000 0.500 0.500
Mn2 Mn 0.500 0.000 0.500
Os1 Os 0.000 0.000 0.500
Ru1 Ru 0.500 0.500 0.000
```

Values from the calculation:
- size of the total moment (μB/cell) = 7.4
- calculated formation energy (kJ per mole of atoms) = 137.3
- D(E_F) (states/eV per atom) = 1.09

***

| no. | energy (eV for the cell shown) |
| --- | --- |
| 1 | -26.5 |
| 2 | -12.4 |
| 3 | -10.6 |
| 4 | -16.4 |
| 5 | -19.2 |
| 6 | -40.8 |
| 7 | -39.2 |
| 8 | -19.4 |
| 9 | -29.0 |
| 10 | -33.3 |